Material: Li2CeScSe4
Method: DFT, PBE
State: optimized geometry

a b c (Å): 6.8689 4.0410 6.9954
angles (deg): 90.00 109.73 90.00
Closest atoms and distances in Å follow each position.
Fractional coordinates of all 8 atoms:
Li (0.0000, 0.0000, 0.0000)  6 Se 2.76-2.77
Li (0.0000, 0.5000, 0.5000)  6 Se 2.90-2.91
Ce (0.5000, 0.0000, 0.5000)  6 Se 2.91
Sc (0.5000, 0.5000, 0.0000)  6 Se 2.76-2.78
Se (0.2439, 0.5000, 0.2307)  1 Sc 2.76, 3 Li 2.77-2.91, 2 Ce 2.91
Se (0.2538, 0.0000, 0.7672)  3 Li 2.76-2.90, 2 Sc 2.78, 1 Ce 2.91
Se (0.7462, 0.0000, 0.2328)  3 Li 2.76-2.90, 2 Sc 2.78, 1 Ce 2.91
Se (0.7561, 0.5000, 0.7693)  1 Sc 2.76, 3 Li 2.77-2.91, 2 Ce 2.91

Output
* density: 4.68 g cm⁻³
* symmetry: P2/m, No. 10
* DFT total energy: -5.33 eV/atom

---

Material: Cs2InHg
Method: DFT, PBE
State: optimized geometry

a b c (Å): 13.3685 13.3685 13.3685
angles (deg): 18.78 18.78 18.78
Closest atoms and distances in Å follow each position.
Fractional coordinates of all 4 atoms:
Cs (0.0956, 0.0956, 0.0956)  1 In 3.77, 3 Hg 3.77
Cs (0.9044, 0.9044, 0.9044)  1 In 3.77, 3 Hg 3.77
In (0.0000, 0.0000, 0.0000)  2 Cs 3.77
Hg (0.5000, 0.5000, 0.5000)  6 Cs 3.77

Output
* ΔE_f: 184.0 meV/atom
* density: 4.46 g cm⁻³
* symmetry: R-3m, No. 166

---

Material: NdMgZn2Cu2
Method: DFT, PBE
State: optimized geometry

a b c (Å): 4.3657 4.3657 6.6885
angles (deg): 90.00 90.00 120.00
Closest atoms and distances in Å follow each position.
Fractional coordinates of all 6 atoms:
Nd (0.0000, 0.0000, 0.0000)  6 Cu 3.20, 6 Zn 3.21, 2 Mg 3.34
Mg (0.0000, 0.0000, 0.5000)  6 Zn 2.86, 6 Cu 2.87
Zn (0.3333, 0.6667, 0.2967)  4 Cu 2.52-2.73
Zn (0.6667, 0.3333, 0.7033)  4 Cu 2.52-2.73
Cu (0.3333, 0.6667, 0.7045)  4 Zn 2.52-2.73
Cu (0.6667, 0.3333, 0.2955)  4 Zn 2.52-2.73

Output
* ΔE_f: -226.6 meV/atom
* density: 6.41 g cm⁻³
* symmetry: P-3m1, No. 164

---

Material: CsThUS6
Method: DFT, PBE
State: optimized geometry

a b c (Å): 9.5993 9.5993 9.5993
angles (deg): 121.20 117.12 91.50
Closest atoms and distances in Å follow each position.
Fractional coordinates of all 18 atoms:
Cs (0.3748, 0.1248, 0.2500)  5 S 3.67-4.01
Cs (0.6252, 0.8752, 0.7500)  5 S 3.67-4.01
Th (0.0000, 0.0000, 0.5000)  6 S 2.72-2.81
Th (0.0000, 0.5000, 0.0000)  6 S 2.72-2.81
U (0.0000, 0.5000, 0.5000)  6 S 2.52-2.56
U (0.5000, 0.5000, 0.0000)  6 S 2.52-2.56
S (0.1008, 0.4353, 0.2790)  1 U 2.52, 1 Th 2.81
S (0.1008, 0.8218, 0.6655)  1 U 2.52, 1 Th 2.81
S (0.1007, 0.8507, 0.2500)  2 Th 2.72
S (0.2905, 0.5405, 0.7500)  2 U 2.56
S (0.3437, 0.1782, 0.7790)  1 U 2.52, 1 Th 2.81
S (0.3437, 0.5647, 0.1655)  1 U 2.52, 1 Th 2.81
S (0.6563, 0.4353, 0.8345)  1 U 2.52, 1 Th 2.81
S (0.6563, 0.8218, 0.2210)  1 U 2.52, 1 Th 2.81
S (0.7095, 0.4595, 0.2500)  2 U 2.56
S (0.8993, 0.1493, 0.7500)  2 Th 2.72
S (0.8992, 0.1782, 0.3345)  1 U 2.52, 1 Th 2.81
S (0.8992, 0.5647, 0.7210)  1 U 2.52, 1 Th 2.81

Output
* density: 4.18 g cm⁻³
* symmetry: Imma, No. 74
* DFT total energy: -6.15 eV/atom

---

Material: Sr2TlSnPd
Method: DFT, PBE
State: optimized geometry

a b c (Å): 5.8629 5.8629 5.0850
angles (deg): 90.00 90.00 90.00
Closest atoms and distances in Å follow each position.
Fractional coordinates of all 5 atoms:
Sr (0.0000, 0.5000, 0.0000)  2 Pd 2.93
Sr (0.5000, 0.0000, 0.0000)  2 Pd 2.93
Tl (0.0000, 0.0000, 0.5000)  8 Sr 3.88, 4 Sn 4.15
Sn (0.5000, 0.5000, 0.5000)  2 Pd 2.54
Pd (0.5000, 0.5000, 0.0000)  2 Sn 2.54

Output
* ΔE_f: -451.8 meV/atom
* density: 5.75 g cm⁻³
* symmetry: P4/mmm, No. 123

---

Material: Cs3TbAg2Br9
Method: DFT, PBE
State: optimized geometry

a b c (Å): 7.9415 7.9415 9.8481
angles (deg): 90.00 90.00 120.00
Closest atoms and distances in Å follow each position.
Fractional coordinates of all 15 atoms:
Cs (0.0000, 0.0000, 0.0000)  12 Br 3.97-4.02
Cs (0.3333, 0.6667, 0.6800)  12 Br 3.90-4.09
Cs (0.6667, 0.3333, 0.3200)  12 Br 3.90-4.09
Tb (0.0000, 0.0000, 0.5000)  6 Br 2.81
Ag (0.3333, 0.6667, 0.1522)  6 Br 2.74-2.92
Ag (0.6667, 0.3333, 0.8478)  6 Br 2.74-2.92
Br (0.0000, 0.5000, 0.0000)  2 Ag 2.74
Br (0.1669, 0.3338, 0.3356)  1 Tb 2.81, 1 Ag 2.92
Br (0.1669, 0.8331, 0.3356)  1 Tb 2.81, 1 Ag 2.92
Br (0.3338, 0.1669, 0.6644)  1 Tb 2.81, 1 Ag 2.92
Br (0.5000, 0.0000, 0.0000)  2 Ag 2.74
Br (0.5000, 0.5000, 0.0000)  2 Ag 2.74
Br (0.6662, 0.8331, 0.3356)  1 Tb 2.81, 1 Ag 2.92
Br (0.8331, 0.1669, 0.6644)  1 Tb 2.81, 1 Ag 2.92
Br (0.8331, 0.6662, 0.6644)  1 Tb 2.81, 1 Ag 2.92

Output
* density: 4.61 g cm⁻³
* symmetry: P-3m1, No. 164
* DFT total energy: -3.20 eV/atom